Record 1
Here is a relaxed structure of Al6GeW2 from the Alexandria database. Energies are from PBE.

Output
Crystal system: monoclinic
Energy relative to the elements: 0.014 eV per atom

Lattice parameters (Å, degrees): 12.9851 3.5937 6.7509 90.00 116.38 90.00
Space group C2/m (No. 12)
Symmetry-distinct sites (fractional):
Al 0.1060 0.0000 0.1563 [4 per cell]
Al 0.1738 0.5000 0.5059 [4 per cell]
Al 0.2244 0.0000 0.8449 [4 per cell]
Ge 0.0000 0.0000 0.5000 [2 per cell]
W 0.0493 0.5000 0.8072 [4 per cell]


Record 2
Here is a relaxed structure of AlGeW3 from the Alexandria database. Energies are from PBE.

Output
Crystal system: cubic
Energy relative to the elements: 1.631 eV per atom

Lattice parameters (Å, degrees): 4.5947 4.5947 4.5947 90.00 90.00 90.00
Space group Pm-3m (No. 221)
Symmetry-distinct sites (fractional):
Al 0.0000 0.0000 0.0000 [1 per cell]
Ge 0.5000 0.5000 0.5000 [1 per cell]
W 0.0000 0.5000 0.5000 [3 per cell]


Record 3
Here is a relaxed structure of AlGeW2 from the Alexandria database. Energies are from PBE.

Output
Crystal system: tetragonal
Energy relative to the elements: 0.778 eV per atom

Lattice parameters (Å, degrees): 7.1612 7.1612 5.3491 90.00 90.00 90.00
Space group I-42d (No. 122)
Symmetry-distinct sites (fractional):
Al 0.0000 0.0000 0.0000 [4 per cell]
Ge 0.0000 0.0000 0.5000 [4 per cell]
W 0.2215 0.7500 0.6250 [8 per cell]


Record 4
Here is a relaxed structure of Al3GeW from the Alexandria database. Energies are from PBE.

Output
Crystal system: cubic
Energy relative to the elements: 0.829 eV per atom

Lattice parameters (Å, degrees): 4.8791 4.8791 4.8791 90.00 90.00 90.00
Space group Pm-3m (No. 221)
Symmetry-distinct sites (fractional):
Al 0.0000 0.0000 0.5000 [3 per cell]
Ge 0.5000 0.5000 0.5000 [1 per cell]
W 0.0000 0.0000 0.0000 [1 per cell]


Record 5
Here is a relaxed structure of Al6GeW from the Alexandria database. Energies are from PBE.

Output
Crystal system: cubic
Energy relative to the elements: -0.101 eV per atom

Lattice parameters (Å, degrees): 5.0363 5.0363 5.0363 90.00 90.00 90.00
Space group Pm-3 (No. 200)
Symmetry-distinct sites (fractional):
Al 0.0000 0.2553 0.5000 [6 per cell]
Ge 0.0000 0.0000 0.0000 [1 per cell]
W 0.5000 0.5000 0.5000 [1 per cell]


Record 6
Here is a relaxed structure of AlGeW2 from the Alexandria database. Energies are from PBE.

Output
Crystal system: cubic
Energy relative to the elements: 0.398 eV per atom

Lattice parameters (Å, degrees): 6.2700 6.2700 6.2700 90.00 90.00 90.00
Space group Fm-3m (No. 225)
Symmetry-distinct sites (fractional):
Al 0.0000 0.0000 0.0000 [4 per cell]
Ge 0.0000 0.0000 0.5000 [4 per cell]
W 0.2500 0.2500 0.2500 [8 per cell]


Record 7
Here is a relaxed structure of YAl2Ge2 from the Alexandria database. Energies are from PBE.

Output
Crystal system: trigonal
Energy relative to the elements: -0.417 eV per atom

Lattice parameters (Å, degrees): 4.2745 4.2745 6.6562 90.00 90.00 120.00
Space group P-3m1 (No. 164)
Symmetry-distinct sites (fractional):
Y 0.0000 0.0000 0.0000 [1 per cell]
Al 0.3333 0.6667 0.6455 [2 per cell]
Ge 0.3333 0.6667 0.2577 [2 per cell]


Record 8
Here is a relaxed structure of YAlGe from the Alexandria database. Energies are from PBE.

Output
Crystal system: tetragonal
Energy relative to the elements: -0.642 eV per atom

Lattice parameters (Å, degrees): 4.1365 4.1365 14.4338 90.00 90.00 90.00
Space group I4/mmm (No. 139)
Symmetry-distinct sites (fractional):
Y 0.0000 0.0000 0.1615 [4 per cell]
Al 0.0000 0.5000 0.0000 [4 per cell]
Ge 0.0000 0.0000 0.3664 [4 per cell]


Record 9
Here is a relaxed structure of YAlGe3 from the Alexandria database. Energies are from PBE.

Output
Crystal system: cubic
Energy relative to the elements: 0.159 eV per atom

Lattice parameters (Å, degrees): 4.8790 4.8790 4.8790 90.00 90.00 90.00
Space group Pm-3m (No. 221)
Symmetry-distinct sites (fractional):
Y 0.0000 0.0000 0.0000 [1 per cell]
Al 0.5000 0.5000 0.5000 [1 per cell]
Ge 0.0000 0.5000 0.5000 [3 per cell]


Record 10
Here is a relaxed structure of YAlGe from the Alexandria database. Energies are from PBE.

Output
Crystal system: tetragonal
Energy relative to the elements: -0.200 eV per atom

Lattice parameters (Å, degrees): 4.1020 4.1020 8.3021 90.00 90.00 90.00
Space group I4mm (No. 107)
Symmetry-distinct sites (fractional):
Y 0.0000 0.0000 0.0000 [2 per cell]
Al 0.0000 0.0000 0.6474 [2 per cell]
Ge 0.0000 0.0000 0.3483 [2 per cell]


Record 11
Here is a relaxed structure of YAl2Ge2 from the Alexandria database. Energies are from PBE.

Output
Crystal system: tetragonal
Energy relative to the elements: -0.208 eV per atom

Lattice parameters (Å, degrees): 7.4734 7.4734 3.5775 90.00 90.00 90.00
Space group P4/mbm (No. 127)
Symmetry-distinct sites (fractional):
Y 0.0000 0.0000 0.0000 [2 per cell]
Al 0.1497 0.3503 0.5000 [4 per cell]
Ge 0.1346 0.6346 0.0000 [4 per cell]


Record 12
Here is a relaxed structure of Y3Al4Ge2 from the Alexandria database. Energies are from PBE.

Output
Crystal system: monoclinic
Energy relative to the elements: -0.558 eV per atom

Lattice parameters (Å, degrees): 10.9777 4.2717 8.4555 90.00 104.17 90.00
Space group C2/m (No. 12)
Symmetry-distinct sites (fractional):
Y 0.0000 0.0000 0.0000 [2 per cell]
Y 0.1683 0.5000 0.6636 [4 per cell]
Al 0.0472 0.0000 0.3813 [4 per cell]
Al 0.2303 0.5000 0.0634 [4 per cell]
Ge 0.1126 0.5000 0.2789 [4 per cell]


Record 13
Here is a relaxed structure of Y4AlGe8 from the Alexandria database. Energies are from PBE.

Output
Crystal system: orthorhombic
Energy relative to the elements: -0.558 eV per atom

Lattice parameters (Å, degrees): 3.9944 4.1809 16.4782 90.00 90.00 90.00
Space group Pmm2 (No. 25)
Symmetry-distinct sites (fractional):
Y 0.0000 0.0000 0.0000 [1 per cell]
Y 0.0000 0.5000 0.4819 [1 per cell]
Y 0.5000 0.0000 0.7922 [1 per cell]
Y 0.5000 0.5000 0.2813 [1 per cell]
Al 0.0000 0.5000 0.7166 [1 per cell]
Ge 0.0000 0.0000 0.3290 [1 per cell]
Ge 0.0000 0.0000 0.6249 [1 per cell]
Ge 0.0000 0.5000 0.1373 [1 per cell]
Ge 0.0000 0.5000 0.8638 [1 per cell]
Ge 0.5000 0.0000 0.1436 [1 per cell]
Ge 0.5000 0.0000 0.4313 [1 per cell]
Ge 0.5000 0.5000 0.6224 [1 per cell]
Ge 0.5000 0.5000 0.9683 [1 per cell]


Record 14
Here is a relaxed structure of Y2Al3Ge from the Alexandria database. Energies are from PBE.

Output
Crystal system: orthorhombic
Energy relative to the elements: -0.542 eV per atom

Lattice parameters (Å, degrees): 3.9158 4.3391 7.5193 90.00 90.00 90.00
Space group Pmm2 (No. 25)
Symmetry-distinct sites (fractional):
Y 0.0000 0.0000 0.0000 [1 per cell]
Y 0.0000 0.5000 0.4867 [1 per cell]
Al 0.5000 0.0000 0.6578 [1 per cell]
Al 0.5000 0.5000 0.1597 [1 per cell]
Al 0.5000 0.5000 0.8250 [1 per cell]
Ge 0.5000 0.0000 0.3277 [1 per cell]


Record 15
Here is a relaxed structure of YAl3Ge3 from the Alexandria database. Energies are from PBE.

Output
Crystal system: trigonal
Energy relative to the elements: -0.287 eV per atom

Lattice parameters (Å, degrees): 7.2271 7.2271 20.4866 90.00 90.00 120.00
Space group R-3 (No. 148, hexagonal axes)
Symmetry-distinct sites (fractional):
Y 0.0000 0.0000 0.1664 [6 per cell]
Al 0.0016 0.6631 0.6221 [18 per cell]
Ge 0.0006 0.6758 0.4187 [18 per cell]


Record 16
Here is a relaxed structure of YAl2Ge2 from the Alexandria database. Energies are from PBE.

Output
Crystal system: tetragonal
Energy relative to the elements: -0.154 eV per atom

Lattice parameters (Å, degrees): 7.6067 7.6067 3.4069 90.00 90.00 90.00
Space group P4/mbm (No. 127)
Symmetry-distinct sites (fractional):
Y 0.0000 0.0000 0.0000 [2 per cell]
Al 0.1220 0.3780 0.0000 [4 per cell]
Ge 0.1734 0.6734 0.5000 [4 per cell]


Record 17
Here is a relaxed structure of Y2AlGe3 from the Alexandria database. Energies are from PBE.

Output
Crystal system: orthorhombic
Energy relative to the elements: -0.658 eV per atom

Lattice parameters (Å, degrees): 6.8732 4.1914 17.7194 90.00 90.00 90.00
Space group Pnma (No. 62)
Symmetry-distinct sites (fractional):
Y 0.1599 0.2500 0.2044 [4 per cell]
Y 0.1655 0.2500 0.4151 [4 per cell]
Al 0.0467 0.7500 0.0653 [4 per cell]
Ge 0.0453 0.2500 0.6714 [4 per cell]
Ge 0.1516 0.2500 0.8114 [4 per cell]
Ge 0.2484 0.2500 0.0351 [4 per cell]


Record 18
Here is a relaxed structure of YAlGe from the Alexandria database. Energies are from PBE.

Output
Crystal system: orthorhombic
Energy relative to the elements: -0.668 eV per atom

Lattice parameters (Å, degrees): 4.0773 10.4467 5.7804 90.00 90.00 90.00
Space group Cmcm (No. 63)
Symmetry-distinct sites (fractional):
Y 0.0000 0.1904 0.2500 [4 per cell]
Al 0.0000 0.5000 0.0000 [4 per cell]
Ge 0.0000 0.1054 0.7500 [4 per cell]


Record 19
Here is a relaxed structure of YAl3Ge from the Alexandria database. Energies are from PBE.

Output
Crystal system: cubic
Energy relative to the elements: 1.232 eV per atom

Lattice parameters (Å, degrees): 5.4539 5.4539 5.4539 90.00 90.00 90.00
Space group Pm-3m (No. 221)
Symmetry-distinct sites (fractional):
Y 0.0000 0.0000 0.0000 [1 per cell]
Al 0.0000 0.0000 0.5000 [3 per cell]
Ge 0.5000 0.5000 0.5000 [1 per cell]


Record 20
Here is a relaxed structure of YAl3Ge from the Alexandria database. Energies are from PBE.

Output
Crystal system: cubic
Energy relative to the elements: 0.336 eV per atom

Lattice parameters (Å, degrees): 4.8991 4.8991 4.8991 90.00 90.00 90.00
Space group Pm-3m (No. 221)
Symmetry-distinct sites (fractional):
Y 0.0000 0.0000 0.0000 [1 per cell]
Al 0.0000 0.5000 0.5000 [3 per cell]
Ge 0.5000 0.5000 0.5000 [1 per cell]


Record 21
Here is a relaxed structure of YAlGe3 from the Alexandria database. Energies are from PBE.

Output
Crystal system: cubic
Energy relative to the elements: 0.782 eV per atom

Lattice parameters (Å, degrees): 5.3991 5.3991 5.3991 90.00 90.00 90.00
Space group Pm-3m (No. 221)
Symmetry-distinct sites (fractional):
Y 0.0000 0.0000 0.0000 [1 per cell]
Al 0.5000 0.5000 0.5000 [1 per cell]
Ge 0.0000 0.0000 0.5000 [3 per cell]


Record 22
Here is a relaxed structure of Y2Al2Ge from the Alexandria database. Energies are from PBE.

Output
Crystal system: tetragonal
Energy relative to the elements: -0.483 eV per atom

Lattice parameters (Å, degrees): 7.0124 7.0124 4.5690 90.00 90.00 90.00
Space group P4/mbm (No. 127)
Symmetry-distinct sites (fractional):
Y 0.1704 0.3296 0.0000 [4 per cell]
Al 0.1311 0.6311 0.5000 [4 per cell]
Ge 0.0000 0.0000 0.5000 [2 per cell]


Record 23
Here is a relaxed structure of YAl2Ge2 from the Alexandria database. Energies are from PBE.

Output
Crystal system: monoclinic
Energy relative to the elements: -0.315 eV per atom

Lattice parameters (Å, degrees): 5.7092 4.2094 8.9852 90.00 104.32 90.00
Space group P2_1/m (No. 11)
Symmetry-distinct sites (fractional):
Y 0.1373 0.2500 0.2900 [2 per cell]
Al 0.3047 0.7500 0.0528 [2 per cell]
Al 0.4053 0.2500 0.6720 [2 per cell]
Ge 0.1845 0.2500 0.9024 [2 per cell]
Ge 0.2652 0.7500 0.5306 [2 per cell]


Record 24
Here is a relaxed structure of Y2Al3Ge2 from the Alexandria database. Energies are from PBE.

Output
Crystal system: orthorhombic
Energy relative to the elements: -0.389 eV per atom

Lattice parameters (Å, degrees): 3.8489 19.0567 4.0561 90.00 90.00 90.00
Space group Cmmm (No. 65)
Symmetry-distinct sites (fractional):
Y 0.0000 0.1623 0.0000 [4 per cell]
Al 0.0000 0.0000 0.0000 [2 per cell]
Al 0.0000 0.4318 0.5000 [4 per cell]
Ge 0.0000 0.2949 0.5000 [4 per cell]